1.
A plane-wave DFT calculation with PBE was carried out for a geometry-optimized La2Dy6Ho3 structure.

N(E_F) in states/eV per atom: 1.56
SG: I4/mmm
ΔE_f in eV/atom: 0.270
E in eV per atom: -4.385
ρ in g/cm³: 7.668

Cell and atoms, written as extended XYZ:
```
11
Lattice="-3.821 -2.578 1.140 2.569 -2.395 3.196 -3.474 13.756 9.575" Properties=species:S:1:pos:R:3 pbc="T T T"
Ho -1.654 4.545 4.736
Ho -3.072 4.238 9.174
Ho 0.000 0.000 0.000
Dy -2.926 1.503 3.479
Dy 0.269 1.595 4.507
Dy -2.238 1.944 6.784
Dy -2.488 6.839 7.126
Dy -1.800 7.280 10.431
Dy -4.995 7.189 9.403
La -1.004 -1.447 3.251
La -3.721 10.230 10.659
```

=====

2.
A plane-wave DFT calculation with PBE was carried out for a geometry-optimized TbYRe structure.

N(E_F) in states/eV per atom: 1.10
SG: P4/nmm
ΔE_f in eV/atom: 0.099
E in eV per atom: -7.749
ρ in g/cm³: 9.609

Cell and atoms, written as extended XYZ:
```
6
Lattice="-3.013 -1.118 -0.095 0.495 -1.567 2.763 -4.548 11.624 7.408" Properties=species:S:1:pos:R:3 pbc="T T T"
Y -0.622 1.439 2.798
Y -5.185 8.843 5.944
Re -1.718 -0.019 0.297
Re -4.090 10.300 8.446
Tb -3.357 4.170 2.967
Tb -2.451 6.111 5.776
```

=====

3.
A plane-wave DFT calculation with PBE was carried out for a geometry-optimized Mg2AlOs structure.

N(E_F) in states/eV per atom: 0.48
SG: Pmmm
ΔE_f in eV/atom: 0.033
E in eV per atom: -4.507
ρ in g/cm³: 6.887

Cell and atoms, written as extended XYZ:
```
4
Lattice="3.346 0.000 0.000 0.000 4.296 0.000 0.000 0.000 4.459" Properties=species:S:1:pos:R:3 pbc="T T T"
Mg 1.673 2.148 0.000
Mg 0.000 0.000 0.000
Al 0.000 2.148 2.230
Os 1.673 0.000 2.230
```

=====

4.
A plane-wave DFT calculation with PBE was carried out for a geometry-optimized ZrTaSi structure.

N(E_F) in states/eV per atom: 0.62
SG: Cm
E in eV per atom: -9.059
ρ in g/cm³: 9.107
E_form (uncorrected) in meV/atom: -451

Cell and atoms, written as extended XYZ:
```
12
Lattice="-2.530 -3.659 -3.219 -1.277 -1.707 2.944 -8.828 6.521 -0.047" Properties=species:S:1:pos:R:3 pbc="T T T"
Ta -9.134 4.279 0.764
Ta -3.307 -2.949 -3.145
Ta -8.359 -0.542 -1.696
Ta -4.081 1.872 -0.684
Si -7.045 3.980 -0.748
Si -3.269 -0.134 0.748
Si -11.021 2.809 -0.907
Si -5.969 0.402 -2.356
Zr -8.855 2.494 -2.395
Zr -2.033 -1.084 -1.510
Zr -7.085 1.323 -0.062
Zr -5.080 -1.620 -0.899
```